A plane-wave DFT calculation with GGA-PBE was carried out for BaBe2Ni2 after structural relaxation.

a b c (Å): 6.2077 6.2077 6.2077
angles (deg): 140.85 140.85 56.57
Atoms (fractional coordinates):
Ba 0.0000 0.0000 0.0000
Be 0.2500 0.7500 0.5000
Be 0.7500 0.2500 0.5000
Ni 0.2811 0.2811 0.0000
Ni 0.7189 0.7189 0.0000

energy	-4.12	eV per atom
energy of formation	62.9	meV per atom
D(E_F)	0.5751	states/eV/atom

---

A plane-wave DFT calculation with GGA-PBE was carried out for BaBe2Ni after structural relaxation.

a b c (Å): 3.8938 3.8938 6.0044
angles (deg): 108.61 108.61 61.08
Atoms (fractional coordinates):
Ba 0.0000 0.0000 0.0000
Be 0.3420 0.3420 0.5158
Be 0.6580 0.6580 0.4842
Ni 0.0000 0.0000 0.5000

energy	-3.79	eV per atom
energy of formation	0.9	meV per atom
D(E_F)	0.3578	states/eV/atom
energy above the most stable polymorph in this dataset	0.0	kJ/mol of atoms

---

A plane-wave DFT calculation with GGA-PBE was carried out for BaBe2Ni after structural relaxation.

a b c (Å): 4.8920 4.8920 3.4040
angles (deg): 90.00 90.00 115.50
Atoms (fractional coordinates):
Ba 0.0000 0.0000 0.0000
Be 0.0000 0.5000 0.5000
Be 0.5000 0.0000 0.5000
Ni 0.5000 0.5000 0.0000

energy	-2.70	eV per atom
energy of formation	1084.9	meV per atom
D(E_F)	0.4492	states/eV/atom
energy above the most stable polymorph in this dataset	104.6	kJ/mol of atoms

---

A plane-wave DFT calculation with GGA-PBE was carried out for BaBe2Ni after structural relaxation.

a b c (Å): 4.7641 4.7641 4.7641
angles (deg): 119.91 119.91 90.16
Atoms (fractional coordinates):
Ba 0.0000 0.0000 0.0000
Be 0.2500 0.7500 0.5000
Be 0.5000 0.5000 0.0000
Ni 0.7500 0.2500 0.5000

energy	-2.87	eV per atom
energy of formation	920.4	meV per atom
D(E_F)	0.7850	states/eV/atom
energy above the most stable polymorph in this dataset	88.7	kJ/mol of atoms

---

A plane-wave DFT calculation with GGA-PBE was carried out for BaBeNi4 after structural relaxation.

a b c (Å): 5.0482 5.0482 5.0482
angles (deg): 60.00 60.00 60.00
Atoms (fractional coordinates):
Ba 0.0000 0.0000 0.0000
Be 0.7500 0.7500 0.7500
Ni 0.3774 0.3774 0.3774
Ni 0.3774 0.3774 0.8679
Ni 0.3774 0.8679 0.3774
Ni 0.8679 0.3774 0.3774

energy	-4.43	eV per atom
energy of formation	364.9	meV per atom
D(E_F)	1.2082	states/eV/atom